Entry 1:
Compound: TlCo2Tc
Source: Alexandria via LeMat-Bulk
Functional: PBE
Structure: optimized geometry

POSCAR file:
```
TlCo2Tc
1.0
4.250 -1.436 0.000
4.250 1.436 0.000
-0.829 0.000 4.950
Tl Co Tc
1 2 1
Cartesian
0.000 0.000 0.000
1.474 0.000 3.430
6.197 0.000 1.520
3.836 0.000 2.475
```

Properties
* DFT formation energy: 0.547 eV per atom
* polymorph energy (0 for the lowest one): 135.2 meV/atom
* V: 15.1 Å³/atom
* symmetry: C2/m (12)


Entry 2:
Compound: OsRh2
Source: Alexandria via LeMat-Bulk
Functional: PBE
Structure: optimized geometry

POSCAR file:
```
OsRh2
1.0
-3.008 3.008 2.545
3.008 -3.008 2.545
3.008 3.008 -2.545
Os Rh
2 4
Cartesian
0.000 0.000 1.273
0.000 0.000 3.818
3.895 0.887 0.000
0.887 2.121 0.000
2.121 0.887 2.545
-0.887 2.121 2.545
```

Properties
* DFT formation energy: 0.396 eV per atom
* polymorph energy (0 for the lowest one): 380.0 meV/atom
* V: 15.4 Å³/atom
* symmetry: I4/mcm (140)


Entry 3:
Compound: RbAcMgBr6
Source: Alexandria via LeMat-Bulk
Functional: PBE
Structure: optimized geometry

POSCAR file:
```
RbAcMgBr6
1.0
7.555 0.000 0.000
-3.778 6.543 0.000
0.000 0.000 14.942
Rb Ac Mg Br
2 2 2 12
Cartesian
0.000 0.000 0.000
0.000 0.000 7.471
0.000 4.362 3.735
3.778 2.181 11.206
0.000 4.362 11.206
3.778 2.181 3.735
-1.213 2.532 9.591
-2.192 4.227 12.821
1.213 2.532 12.821
-0.979 6.328 9.591
2.799 0.216 2.120
1.586 2.316 5.350
2.192 4.227 9.591
0.979 6.328 12.821
4.757 0.216 5.350
2.565 4.012 2.120
5.969 2.316 2.120
4.990 4.012 5.350
```

Properties
* V: 41.0 Å³/atom
* formation energy (no corrections): -1.78 eV/atom
* symmetry: P-31c (163)


Entry 4:
Compound: Y2Cu2Si3
Source: Alexandria via LeMat-Bulk
Functional: PBE
Structure: optimized geometry

POSCAR file:
```
Y2Cu2Si3
1.0
2.089 -8.802 0.000
2.089 8.802 0.000
0.000 0.000 6.607
Y Cu Si
4 4 6
Cartesian
2.089 7.893 4.955
2.089 6.036 1.652
2.089 -6.036 4.955
2.089 -7.893 1.652
2.089 3.329 0.399
2.089 3.329 2.904
2.089 -3.329 3.703
2.089 -3.329 6.208
2.089 4.887 4.955
2.089 1.085 3.760
2.089 1.085 6.151
2.089 -1.085 0.456
2.089 -1.085 2.847
2.089 -4.887 1.652
```

Properties
* V: 17.4 Å³/atom
* formation energy (no corrections): -0.66 eV/atom
* symmetry: Cmcm (63)


Entry 5:
Compound: CoSe2Cl
Source: Alexandria via LeMat-Bulk
Functional: PBE
Structure: optimized geometry

POSCAR file:
```
CoSe2Cl
1.0
1.766 1.019 6.971
-1.766 1.019 6.971
0.000 -2.039 6.971
Co Se Cl
1 2 1
Cartesian
0.000 0.000 0.000
0.000 0.000 5.760
0.000 0.000 15.154
0.000 0.000 10.457
```

Properties
* polymorph energy (0 for the lowest one): 78.6 meV/atom
* V: 18.8 Å³/atom
* formation energy (no corrections): -0.17 eV/atom
* symmetry: R-3m (166)


Entry 6:
Compound: Pm2Si2Ag3
Source: Alexandria via LeMat-Bulk
Functional: PBE
Structure: optimized geometry

POSCAR file:
```
Pm2Si2Ag3
1.0
5.330 -2.095 0.000
5.330 2.095 0.000
-0.684 0.000 6.649
Pm Si Ag
2 2 3
Cartesian
1.203 0.000 2.201
8.773 0.000 4.449
4.249 0.000 2.387
5.727 0.000 4.262
1.284 0.000 5.724
5.330 0.000 0.000
8.691 0.000 0.925
```

Properties
* V: 21.2 Å³/atom
* formation energy (no corrections): -0.40 eV/atom
* symmetry: C2/m (12)


Entry 7:
Compound: LiMnMo4
Source: Alexandria via LeMat-Bulk
Functional: PBE
Structure: optimized geometry

POSCAR file:
```
LiMnMo4
1.0
0.000 3.686 3.686
3.686 0.000 3.686
3.686 3.686 0.000
Li Mn Mo
1 1 4
Cartesian
0.000 0.000 0.000
1.843 1.843 1.843
4.615 2.757 2.757
2.757 4.615 2.757
2.757 2.757 4.615
4.615 4.615 4.615
```

Properties
* DFT formation energy: 0.546 eV per atom
* V: 16.7 Å³/atom
* symmetry: F-43m (216)


Entry 8:
Compound: CsInAu3
Source: Alexandria via LeMat-Bulk
Functional: PBE
Structure: optimized geometry

POSCAR file:
```
CsInAu3
1.0
5.433 0.000 0.000
0.000 5.433 0.000
0.000 0.000 5.433
Cs In Au
1 1 3
Cartesian
0.000 0.000 0.000
2.716 2.716 2.716
0.000 2.716 2.716
2.716 0.000 2.716
2.716 2.716 0.000
```

Properties
* DFT formation energy: -0.095 eV per atom
* polymorph energy (0 for the lowest one): 143.7 meV/atom
* V: 32.1 Å³/atom
* symmetry: Pm-3m (221)


Entry 9:
Compound: ZnCdPb2
Source: Alexandria via LeMat-Bulk
Functional: PBE
Structure: optimized geometry

POSCAR file:
```
ZnCdPb2
1.0
3.978 0.000 0.000
0.000 4.570 0.000
-1.794 0.000 5.786
Zn Cd Pb
1 1 2
Cartesian
0.000 0.000 0.000
0.068 2.285 1.703
0.174 2.285 4.900
2.090 0.000 2.746
```

Properties
* DFT formation energy: 0.099 eV per atom
* polymorph energy (0 for the lowest one): 21.0 meV/atom
* V: 26.3 Å³/atom
* symmetry: Pm (6)


Entry 10:
Compound: Rb4Br
Source: Alexandria via LeMat-Bulk
Functional: PBE
Structure: optimized geometry

POSCAR file:
```
Rb4Br
1.0
7.081 0.000 0.000
0.000 7.081 0.000
0.000 0.000 7.081
Rb Br
4 1
Cartesian
0.000 0.000 0.000
0.000 3.541 3.541
3.541 0.000 3.541
3.541 3.541 0.000
3.541 3.541 3.541
```

Properties
* V: 71.0 Å³/atom
* formation energy (no corrections): -0.64 eV/atom
* symmetry: Pm-3m (221)


Entry 11:
Compound: Pa3Tc4Ge4
Source: Alexandria via LeMat-Bulk
Functional: PBE
Structure: optimized geometry

POSCAR file:
```
Pa3Tc4Ge4
1.0
-2.115 3.281 7.357
2.115 -3.281 7.357
2.115 3.281 -7.357
Pa Tc Ge
3 4 4
Cartesian
0.000 0.000 0.000
2.115 0.000 5.311
0.000 3.281 2.046
2.115 1.484 -2.535
2.115 1.484 2.535
0.000 1.797 4.823
0.000 1.797 9.892
0.000 0.000 2.920
2.115 2.000 0.000
0.000 1.281 7.357
0.000 0.000 11.794
```

Properties
* DFT formation energy: -0.414 eV per atom
* V: 18.6 Å³/atom
* symmetry: Immm (71)


Entry 12:
Compound: FeRe3Cl
Source: Alexandria via LeMat-Bulk
Functional: PBE
Structure: optimized geometry

POSCAR file:
```
FeRe3Cl
1.0
4.518 0.000 0.000
0.000 4.518 0.000
0.000 0.000 4.518
Fe Re Cl
1 3 1
Cartesian
0.000 0.000 0.000
0.000 0.000 2.259
0.000 2.259 0.000
2.259 0.000 0.000
2.259 2.259 2.259
```

Properties
* polymorph energy (0 for the lowest one): 142.7 meV/atom
* V: 18.4 Å³/atom
* formation energy (no corrections): 2.08 eV/atom
* symmetry: Pm-3m (221)